Li4TcPbO6 PBE-GGA optimized geometry; VASP energy = -5.854 eV per atom; symmetry = C2
1.0
2.688 -4.640 0.000
2.688 4.640 0.000
-1.811 0.000 4.942
Li Tc Pb O
4 1 1 6
direct
0.000 0.000 0.000
0.344 0.656 0.000
0.680 0.320 0.000
0.841 0.159 0.500
0.508 0.492 0.500
0.174 0.826 0.500
0.117 0.409 0.255
0.281 0.268 0.739
0.428 0.105 0.257
0.591 0.883 0.745
0.732 0.719 0.261
0.895 0.572 0.743


GaCuI3Br PBE-GGA optimized geometry; VASP energy = -2.636 eV per atom; symmetry = P1
1.0
6.186 0.000 0.000
-0.002 6.242 0.000
-2.943 -3.096 5.695
Ga Cu I Br
1 1 3 1
direct
0.000 0.000 0.000
0.755 0.251 0.494
0.122 0.626 0.742
0.372 0.370 0.254
0.630 0.115 0.740
0.888 0.905 0.247


NaNpGa PBE-GGA optimized geometry; energy relative to the lowest polymorph listed for this composition = 0.000 eV/atom; VASP energy = -5.055 eV per atom; symmetry = F-43m
1.0
0.000 3.489 3.489
3.489 0.000 3.489
3.489 3.489 0.000
Na Np Ga
1 1 1
direct
0.000 0.000 0.000
0.500 0.500 0.500
0.250 0.250 0.250


GaRePb PBE-GGA optimized geometry; VASP energy = -5.545 eV per atom; symmetry = F-43m
1.0
0.000 3.188 3.188
3.188 0.000 3.188
3.188 3.188 0.000
Ga Re Pb
1 1 1
direct
0.000 0.000 0.000
0.250 0.250 0.250
0.500 0.500 0.500


Question: VASP energy of number 3 (NaNpGa)?
Answer: -5.055 eV per atom


Question: Which formula does entry 3 have?
Answer: NaNpGa


Question: Among the records above, which one has the highest VASP energy?
Answer: GaCuI3Br


Question: Among the records above, which one has the lowest VASP energy?
Answer: Li4TcPbO6